# VOF, relaxed, DFT GGA+U
data_VOF
_space_group_name_H-M_alt 'P 41 21 2'
_space_group_IT_number 92
_space_group_name_Hall 'P 4abw 2nw'
_cell_length_a 4.7246
_cell_length_b 4.7246
_cell_length_c 6.2386
_cell_angle_alpha 90.00
_cell_angle_beta 90.00
_cell_angle_gamma 90.00
loop_
_atom_site_label
_atom_site_type_symbol
_atom_site_fract_x
_atom_site_fract_y
_atom_site_fract_z
_atom_site_occupancy
V1 V 0.0299 0.0299 0.0000 1
O1 O 0.1811 0.8189 0.2500 1
F1 F 0.2095 0.7905 0.7500 1
# Mass density, g/cm3: 4.1
# Raw total energy, eV/atom: -7.20
# V, Å³/f.u.: 34.8
# Magnetization, μB/cell: 8.000